Model 1:
Computed, not measured: an optimized crystal structure of NdTh2Zr at the PBE-GGA level of DFT.

CIF file:
```
data_NdTh2Zr
_symmetry_space_group_name_H-M 'R 3 m'
_symmetry_Int_Tables_number 160
_symmetry_space_group_name_Hall 'R 3 -2"'
_cell_length_a 3.5052
_cell_length_b 3.5052
_cell_length_c 34.2299
_cell_angle_alpha 90.00
_cell_angle_beta 90.00
_cell_angle_gamma 120.00
loop_
_atom_site_label
_atom_site_type_symbol
_atom_site_fract_x
_atom_site_fract_y
_atom_site_fract_z
_atom_site_occupancy
Nd1 Nd 0.0000 0.0000 0.0000 1
Th1 Th 0.0000 0.0000 0.5809 1
Th2 Th 0.0000 0.0000 0.7563 1
Zr1 Zr 0.0000 0.0000 0.1696 1
```

Crystal system: trigonal
DOS at the Fermi energy, states/eV/atom: 1.6278

---

Model 2:
Computed, not measured: an optimized crystal structure of NdTh2Zr at the PBE-GGA level of DFT.

CIF file:
```
data_NdTh2Zr
_symmetry_space_group_name_H-M 'P 4/m m m'
_symmetry_Int_Tables_number 123
_symmetry_space_group_name_Hall '-P 4 2'
_cell_length_a 3.502
_cell_length_b 3.502
_cell_length_c 9.945
_cell_angle_alpha 90.00
_cell_angle_beta 90.00
_cell_angle_gamma 90.00
loop_
_atom_site_label
_atom_site_type_symbol
_atom_site_fract_x
_atom_site_fract_y
_atom_site_fract_z
_atom_site_occupancy
Nd1 Nd 0.000 0.000 0.000 1
Th1 Th 0.500 0.500 0.268 1
Zr1 Zr 0.000 0.000 0.500 1
```

Crystal system: tetragonal
DOS at the Fermi energy, states/eV/atom: 1.5050

---

In kJ/mol of atoms, relative to the most stable structure: model 1 1.8; model 2 0.0.

---

Model 1:
Computed, not measured: an optimized crystal structure of YCuOs2 at the PBE-GGA level of DFT.

CIF file:
```
data_YCuOs2
_symmetry_space_group_name_H-M 'C m m m'
_symmetry_Int_Tables_number 65
_symmetry_space_group_name_Hall '-C 2 2'
_cell_length_a 3.171
_cell_length_b 4.635
_cell_length_c 8.812
_cell_angle_alpha 90.00
_cell_angle_beta 90.00
_cell_angle_gamma 90.00
loop_
_atom_site_label
_atom_site_type_symbol
_atom_site_fract_x
_atom_site_fract_y
_atom_site_fract_z
_atom_site_occupancy
Y1 Y 0.000 0.000 0.000 1
Cu1 Cu 0.000 0.000 0.500 1
Os1 Os 0.000 0.500 0.269 1
```

Crystal system: orthorhombic
DOS at the Fermi energy, states/eV/atom: 0.7342

---

Model 2:
Computed, not measured: an optimized crystal structure of YCuOs2 at the PBE-GGA level of DFT.

CIF file:
```
data_YCuOs2
_symmetry_space_group_name_H-M 'I -4 m 2'
_symmetry_Int_Tables_number 119
_symmetry_space_group_name_Hall 'I -4 -2'
_cell_length_a 4.512
_cell_length_b 4.512
_cell_length_c 6.514
_cell_angle_alpha 90.00
_cell_angle_beta 90.00
_cell_angle_gamma 90.00
loop_
_atom_site_label
_atom_site_type_symbol
_atom_site_fract_x
_atom_site_fract_y
_atom_site_fract_z
_atom_site_occupancy
Y1 Y 0.000 0.000 0.000 1
Cu1 Cu 0.000 0.500 0.750 1
Os1 Os 0.000 0.000 0.500 1
Os2 Os 0.000 0.500 0.250 1
```

Crystal system: tetragonal
DOS at the Fermi energy, states/eV/atom: 0.7911

---

In kJ/mol of atoms, relative to the most stable structure: model 1 24.3; model 2 0.0.

---

Model 1:
Computed, not measured: an optimized crystal structure of CaNi2Hg at the PBE-GGA level of DFT.

CIF file:
```
data_CaNi2Hg
_symmetry_space_group_name_H-M 'C 1 2/m 1'
_symmetry_Int_Tables_number 12
_cell_length_a 7.672
_cell_length_b 4.423
_cell_length_c 5.384
_cell_angle_alpha 90.00
_cell_angle_beta 118.05
_cell_angle_gamma 90.00
loop_
_symmetry_equiv_pos_as_xyz
'x,y,z'
'-x,-y,-z'
'-x,y,-z'
'x,-y,z'
'x+1/2,y+1/2,z'
'-x+1/2,-y+1/2,-z'
'-x+1/2,y+1/2,-z'
'x+1/2,-y+1/2,z'
loop_
_atom_site_label
_atom_site_type_symbol
_atom_site_fract_x
_atom_site_fract_y
_atom_site_fract_z
_atom_site_occupancy
Ca1 Ca 0.000 0.000 0.000 1
Ni1 Ni 0.189 0.000 0.566 1
Hg1 Hg 0.000 0.500 0.500 1
```

Crystal system: monoclinic
DOS at the Fermi energy, states/eV/atom: 0.6534

---

Model 2:
Computed, not measured: an optimized crystal structure of CaNi2Hg at the PBE-GGA level of DFT.

CIF file:
```
data_CaNi2Hg
_symmetry_space_group_name_H-M 'P 4/m m m'
_symmetry_Int_Tables_number 123
_symmetry_space_group_name_Hall '-P 4 2'
_cell_length_a 3.429
_cell_length_b 3.429
_cell_length_c 6.132
_cell_angle_alpha 90.00
_cell_angle_beta 90.00
_cell_angle_gamma 90.00
loop_
_atom_site_label
_atom_site_type_symbol
_atom_site_fract_x
_atom_site_fract_y
_atom_site_fract_z
_atom_site_occupancy
Ca1 Ca 0.000 0.000 0.000 1
Ni1 Ni 0.500 0.500 0.294 1
Hg1 Hg 0.000 0.000 0.500 1
```

Crystal system: tetragonal
DOS at the Fermi energy, states/eV/atom: 0.5665

---

In kJ/mol of atoms, relative to the most stable structure: model 1 0.0; model 2 17.9.

---

Model 1:
Computed, not measured: an optimized crystal structure of Li2LaY at the PBE-GGA level of DFT.

CIF file:
```
data_Li2LaY
_symmetry_space_group_name_H-M 'I m m m'
_symmetry_Int_Tables_number 71
_symmetry_space_group_name_Hall '-I 2 2'
_cell_length_a 3.894
_cell_length_b 5.526
_cell_length_c 10.670
_cell_angle_alpha 90.00
_cell_angle_beta 90.00
_cell_angle_gamma 90.00
loop_
_atom_site_label
_atom_site_type_symbol
_atom_site_fract_x
_atom_site_fract_y
_atom_site_fract_z
_atom_site_occupancy
Li1 Li 0.000 0.000 0.244 1
La1 La 0.000 0.500 0.000 1
Y1 Y 0.000 0.500 0.500 1
```

Crystal system: orthorhombic
DOS at the Fermi energy, states/eV/atom: 0.9636

---

Model 2:
Computed, not measured: an optimized crystal structure of Li2LaY at the PBE-GGA level of DFT.

CIF file:
```
data_Li2LaY
_symmetry_space_group_name_H-M 'F m -3 m'
_symmetry_Int_Tables_number 225
_symmetry_space_group_name_Hall '-F 4 2 3'
_cell_length_a 7.631
_cell_length_b 7.631
_cell_length_c 7.631
_cell_angle_alpha 90.00
_cell_angle_beta 90.00
_cell_angle_gamma 90.00
loop_
_atom_site_label
_atom_site_type_symbol
_atom_site_fract_x
_atom_site_fract_y
_atom_site_fract_z
_atom_site_occupancy
Li1 Li 0.250 0.250 0.250 1
La1 La 0.000 0.000 0.000 1
Y1 Y 0.000 0.000 0.500 1
```

Crystal system: cubic
DOS at the Fermi energy, states/eV/atom: 1.3052

---

In kJ/mol of atoms, relative to the most stable structure: model 1 3.2; model 2 0.0.